1.
This record from the Alexandria database describes a geometry-optimized TbPuCdSi structure. The functional is PBE.

Lattice parameters (Å, degrees): 5.141 5.141 5.141 60.00 60.00 60.00
Fractional positions:
Tb 0.000 0.000 0.000
Pu 0.500 0.500 0.500
Cd 0.250 0.250 0.250
Si 0.750 0.750 0.750

For the uncorrected formation energy, the calculation gives -227 meV/atom. The space-group type is F-43m. As for the spin magnetization: 6.3 μB/cell. The crystal system is cubic.

***

2.
This record from the Alexandria database describes a geometry-optimized CaN2F2 structure. The functional is PBE.

Lattice parameters (Å, degrees): 3.548 3.548 4.840 90.00 90.00 90.00
Fractional positions:
Ca 0.000 0.000 0.000
N 0.000 0.500 0.500
N 0.500 0.000 0.500
F 0.500 0.500 0.000
F 0.500 0.500 0.500

As for the energy above the most stable polymorph in this dataset: 2676 meV per atom. For the uncorrected formation energy, the calculation gives 398 meV/atom. The space-group type is P4/mmm. As for the spin magnetization: 0.6 μB/cell. The crystal system is tetragonal.

***

3.
This record from the Alexandria database describes a geometry-optimized TcBrN2O structure. The functional is PBE.

Lattice parameters (Å, degrees): 4.012 4.012 3.845 90.00 90.00 90.00
Fractional positions:
Tc 0.000 0.000 0.000
Br 0.500 0.500 0.500
N 0.000 0.500 0.000
N 0.500 0.000 0.000
O 0.000 0.000 0.500

For the uncorrected formation energy, the calculation gives 691 meV/atom. The space-group type is P4/mmm. As for the spin magnetization: 0.0 μB/cell. The crystal system is tetragonal.

***

4.
This record from the Alexandria database describes a geometry-optimized Li2CaThBr8 structure. The functional is PBE.

Lattice parameters (Å, degrees): 7.066 7.273 8.779 74.19 89.64 77.29
Fractional positions:
Li 0.045 0.136 0.328
Li 0.955 0.864 0.672
Ca 0.500 0.500 0.500
Th 0.500 0.500 0.000
Br 0.126 0.766 0.445
Br 0.130 0.756 0.946
Br 0.376 0.270 0.295
Br 0.383 0.281 0.807
Br 0.617 0.719 0.193
Br 0.624 0.730 0.705
Br 0.870 0.244 0.054
Br 0.874 0.234 0.555

For the uncorrected formation energy, the calculation gives -1719 meV/atom. The space-group type is P-1. As for the spin magnetization: 0.0 μB/cell. The crystal system is triclinic.